Density functional theory data (PBE) for PrYI2 after structural relaxation.

Results
- E_form (uncorrected): -788 meV per atom
- Total energy: -4.37 eV/atom
- Excess energy over the best structure of this formula in the dataset: 0.000 eV/atom
- Density of states at the Fermi level: 0.41 states/eV/atom

```
data_PrYI2
_chemical_formula_sum 'Pr3 Y3 I6'
_cell_length_a 3.8564
_cell_length_b 3.8564
_cell_length_c 29.3142
_cell_angle_alpha 90.00
_cell_angle_beta 90.00
_cell_angle_gamma 120.00
_space_group_name_H-M_alt 'R 3 m'
_space_group_IT_number 160
_space_group_name_Hall 'R 3 -2"'
loop_
_atom_site_label
_atom_site_type_symbol
_atom_site_fract_x
_atom_site_fract_y
_atom_site_fract_z
Pr1 Pr 0.0000 0.0000 0.0000
Y1 Y 0.0000 0.0000 0.1629
I1 I 0.0000 0.0000 0.5791
I2 I 0.0000 0.0000 0.7500
```